{
  "formula": "Dy5Cu2Sb",
  "functional": "PBE",
  "state": "optimized geometry",
  "spacegroup": "I4/mcm (140)",
  "total_energy_ev_per_cell": -77.5,
  "cell": [[-3.9510, 3.9510, 6.4492], [3.9510, -3.9510, 6.4492], [3.9510, 3.9510, -6.4492]],
  "species": ["Dy", "Dy", "Dy", "Dy", "Dy", "Dy", "Dy", "Dy", "Dy", "Dy", "Cu", "Cu", "Cu", "Cu", "Sb", "Sb"],
  "frac_coords": [[0.0000, 0.0000, 0.0000], [0.0130, 0.5130, 0.8097], [0.2033, 0.0130, 0.5000], [0.2967, 0.7967, 0.8097], [0.4870, 0.2967, 0.5000], [0.5000, 0.5000, 0.0000], [0.5130, 0.7033, 0.5000], [0.7033, 0.2033, 0.1903], [0.7967, 0.9870, 0.5000], [0.9870, 0.4870, 0.1903], [0.1306, 0.3694, 0.5000], [0.3694, 0.8694, 0.2388], [0.6306, 0.1306, 0.7612], [0.8694, 0.6306, 0.5000], [0.2500, 0.2500, 0.0000], [0.7500, 0.7500, 0.0000]]
}